VASP calculation (PBE) on Ta4Se2Cl after structural relaxation.

Lattice parameters (Å, degrees): 5.292 5.292 5.936 95.61 95.61 64.73
Sites, in units of the cell vectors:
Ta (0.133, 0.639, 0.641)
Ta (0.361, 0.867, 0.359)
Ta (0.867, 0.361, 0.359)
Ta (0.639, 0.133, 0.641)
Cl (0.000, 0.000, 0.000)
Se (0.357, 0.357, 0.251)
Se (0.643, 0.643, 0.749)

Properties
Total energy   -7.8622 eV per atom
Spin magnetization   0.005 μB per atom